# 1
# Li3Mg12Ag

Crystalline Li3Mg12Ag at its relaxed geometry (PBE, the Alexandria database).

Output
Space group = P4/mmm, No. 123
V = 21.5 Å³/atom
E_form = -0.042 eV/atom

Cell and atoms, written as extended XYZ:
```
16
Lattice="4.444 0.000 0.000 0.000 4.444 0.000 0.000 0.000 17.387" Properties=species:S:1:pos:R:3 pbc="T T T"
Li 0.000 0.000 0.000
Li 0.000 0.000 4.392
Li 0.000 0.000 12.994
Mg 0.000 2.222 2.207
Mg 0.000 2.222 6.617
Mg 0.000 2.222 10.769
Mg 0.000 2.222 15.180
Mg 2.222 0.000 2.207
Mg 2.222 0.000 6.617
Mg 2.222 0.000 10.769
Mg 2.222 0.000 15.180
Mg 2.222 2.222 0.000
Mg 2.222 2.222 4.432
Mg 2.222 2.222 8.693
Mg 2.222 2.222 12.955
Ag 0.000 0.000 8.693
```

=====

# 2
# RbNbSi2

Crystalline RbNbSi2 at its relaxed geometry (PBE, the Alexandria database).

Output
Excess energy over the best structure of this formula in the dataset = 1.99 eV/f.u.
Space group = Fm-3m, No. 225
V = 21.1 Å³/atom
Raw formation energy = 1008 meV per atom

Cell and atoms, written as extended XYZ:
```
4
Lattice="0.000 3.481 3.481 3.481 0.000 3.481 3.481 3.481 0.000" Properties=species:S:1:pos:R:3 pbc="T T T"
Rb 0.000 0.000 0.000
Nb 3.481 3.481 3.481
Si 1.741 1.741 1.741
Si 5.222 5.222 5.222
```